(1)
Ba3La2 | PBE-GGA | relaxed

Lattice parameters (Å, degrees): 17.0676 17.0676 17.0676 13.70 13.70 13.70
Fractional coordinates of all 5 atoms:
1 Ba 0.0000 0.0000 0.0000
2 Ba 0.2037 0.2037 0.2037
3 Ba 0.7963 0.7963 0.7963
4 La 0.3986 0.3986 0.3986
5 La 0.6014 0.6014 0.6014

Computed properties:
**Calculated total energy**: -2.947 eV/atom
**Space group**: R-3m (166)

=====

(2)
Ba6La | PBE-GGA | relaxed

Lattice parameters (Å, degrees): 8.1090 8.1090 8.1090 109.47 109.47 109.47
Fractional coordinates of all 7 atoms:
1 Ba 0.2500 0.5000 0.7500
2 Ba 0.2500 0.7500 0.5000
3 Ba 0.5000 0.2500 0.7500
4 Ba 0.5000 0.7500 0.2500
5 Ba 0.7500 0.2500 0.5000
6 Ba 0.7500 0.5000 0.2500
7 La 0.0000 0.0000 0.0000

Computed properties:
**Calculated total energy**: -1.388 eV/atom
**Space group**: Im-3m (229)

=====

(3)
BaLa2 | PBE-GGA | relaxed

Lattice parameters (Å, degrees): 7.5834 7.5834 9.3466 103.88 103.88 29.73
Fractional coordinates of all 6 atoms:
1 Ba 0.0000 0.0000 0.0000
2 Ba 0.6717 0.6717 0.3387
3 La 0.0461 0.0461 0.6161
4 La 0.3327 0.3327 0.6676
5 La 0.3909 0.3909 0.2979
6 La 0.7335 0.7335 0.9283

Computed properties:
**Relative energy among the computed polymorphs**: 69 meV per atom
**Space group**: Cm (8)

=====

(4)
Ba2La | PBE-GGA | relaxed

Lattice parameters (Å, degrees): 7.6694 7.6694 7.6694 101.72 101.72 126.42
Fractional coordinates of all 6 atoms:
1 Ba 0.1602 0.6602 0.8204
2 Ba 0.3398 0.1602 0.5000
3 Ba 0.6602 0.8398 0.5000
4 Ba 0.8398 0.3398 0.1796
5 La 0.2500 0.2500 0.0000
6 La 0.7500 0.7500 0.0000

Computed properties:
**Relative energy among the computed polymorphs**: 82 meV per atom
**Space group**: I4/mcm (140)

=====

(5)
Ba2La | PBE-GGA | relaxed

Lattice parameters (Å, degrees): 6.6609 6.6609 8.0159 90.00 90.00 120.00
Fractional coordinates of all 6 atoms:
1 Ba 0.0000 0.0000 0.0000
2 Ba 0.0000 0.0000 0.5000
3 Ba 0.3333 0.6667 0.2500
4 Ba 0.6667 0.3333 0.7500
5 La 0.3333 0.6667 0.7500
6 La 0.6667 0.3333 0.2500

Computed properties:
**Relative energy among the computed polymorphs**: 137 meV per atom
**Space group**: P6_3/mmc (194)

=====

(6)
BaLa2 | PBE-GGA | relaxed

Lattice parameters (Å, degrees): 10.5043 10.5043 6.5581 90.00 90.00 159.06
Fractional coordinates of all 6 atoms:
1 Ba 0.1139 0.8861 0.7500
2 Ba 0.8861 0.1139 0.2500
3 La 0.2123 0.7877 0.2500
4 La 0.4408 0.5592 0.7500
5 La 0.5592 0.4408 0.2500
6 La 0.7877 0.2123 0.7500

Computed properties:
**Relative energy among the computed polymorphs**: 97 meV per atom
**Space group**: Cmcm (63)

=====

(7)
Ba5La | PBE-GGA | relaxed

Lattice parameters (Å, degrees): 7.6434 7.6434 7.0376 90.00 90.00 120.00
Fractional coordinates of all 6 atoms:
1 Ba 0.0000 0.5000 0.0000
2 Ba 0.3333 0.6667 0.5000
3 Ba 0.5000 0.0000 0.0000
4 Ba 0.5000 0.5000 0.0000
5 Ba 0.6667 0.3333 0.5000
6 La 0.0000 0.0000 0.5000

Computed properties:
**Relative energy among the computed polymorphs**: 290 meV per atom
**Space group**: P6/mmm (191)

=====

(8)
Ba3La | PBE-GGA | relaxed

Lattice parameters (Å, degrees): 7.9127 7.9127 7.9127 117.09 117.09 117.09
Fractional coordinates of all 4 atoms:
1 Ba 0.0000 0.5000 0.5000
2 Ba 0.5000 0.0000 0.5000
3 Ba 0.5000 0.5000 0.0000
4 La 0.0000 0.0000 0.0000

Computed properties:
**Relative energy among the computed polymorphs**: 35 meV per atom
**Space group**: R-3m (166)